<w>
MnTcSb2: relaxed, PBE.

N(E_F) = 2.4 states/eV/cell

a b c (Å): 4.769 4.769 4.769
angles (deg): 60.00 60.00 60.00
Sites, in units of the cell vectors:
Tc 0.250 0.250 0.250
Sb 0.750 0.750 0.750
Sb 0.000 0.000 0.000
Mn 0.500 0.500 0.500



<x>
MnTcSb2: relaxed, PBE.

N(E_F) = 4.0 states/eV/cell

a b c (Å): 4.557 4.557 5.491
angles (deg): 80.61 80.61 43.17
Sites, in units of the cell vectors:
Sb 0.012 0.012 0.987
Sb 0.488 0.488 0.513
Mn 0.250 0.250 0.250
Tc 0.750 0.750 0.750



It turns out <x> is the most stable, with the second structure 29.1 kJ/mol of atoms higher.



<w>
MnTcSb2: relaxed, PBE.

N(E_F) = 2.3 states/eV/cell

a b c (Å): 4.558 4.558 4.558
angles (deg): 60.00 60.00 60.00
Sites, in units of the cell vectors:
Tc 0.500 0.500 0.500
Sb 0.750 0.750 0.750
Sb 0.250 0.250 0.250
Mn 0.000 0.000 0.000



<x>
MnTcSb2: relaxed, PBE.

N(E_F) = 2.8 states/eV/cell

a b c (Å): 6.347 6.347 6.347
angles (deg): 149.49 143.82 48.04
Sites, in units of the cell vectors:
Mn 0.228 0.728 0.500
Sb 0.039 0.039 0.000
Sb 0.788 0.288 0.500
Tc 0.445 0.445 0.000



It turns out <x> is the most stable, with the second structure 7.1 kJ/mol of atoms higher.



<w>
MnTcSb2Te: relaxed, PBE.

N(E_F) = 4.2 states/eV/cell

a b c (Å): 5.789 4.813 5.789
angles (deg): 90.00 90.00 90.00
Sites, in units of the cell vectors:
Mn 0.000 0.500 0.000
Te 0.000 0.000 0.000
Sb 0.500 0.000 0.000
Sb 0.000 0.000 0.500
Tc 0.500 0.500 0.500



<x>
MnTcSb2Te: relaxed, PBE.

N(E_F) = 5.4 states/eV/cell

a b c (Å): 4.991 4.991 5.286
angles (deg): 90.00 90.00 90.00
Sites, in units of the cell vectors:
Tc 0.500 0.500 0.500
Sb 0.000 0.500 0.000
Sb 0.500 0.000 0.000
Te 0.000 0.000 0.500
Mn 0.000 0.000 0.000



It turns out <x> is the most stable, with the second structure 51.4 kJ/mol of atoms higher.



<w>
MnSbTe3: relaxed, PBE.

N(E_F) = 2.8 states/eV/cell

a b c (Å): 7.249 7.249 7.271
angles (deg): 90.00 90.00 120.00
Sites, in units of the cell vectors:
Te 0.587 0.587 0.276
Te 0.000 0.587 0.724
Te 0.587 0.000 0.724
Te 0.413 0.413 0.724
Te 0.413 0.000 0.276
Te 0.000 0.413 0.276
Sb 0.000 0.000 0.296
Sb 0.000 0.000 0.704
Mn 0.333 0.667 0.500
Mn 0.667 0.333 0.500



<x>
MnSbTe3: relaxed, PBE.

N(E_F) = 7.7 states/eV/cell

a b c (Å): 5.049 5.049 5.049
angles (deg): 90.00 90.00 90.00
Sites, in units of the cell vectors:
Te 0.000 0.500 0.000
Te 0.000 0.000 0.500
Te 0.500 0.000 0.000
Mn 0.000 0.000 0.000
Sb 0.500 0.500 0.500



<y>
MnSbTe3: relaxed, PBE.

N(E_F) = 3.5 states/eV/cell

a b c (Å): 5.682 5.682 5.682
angles (deg): 90.00 90.00 90.00
Sites, in units of the cell vectors:
Te 0.500 0.000 0.000
Te 0.000 0.500 0.000
Te 0.000 0.000 0.500
Sb 0.000 0.000 0.000
Mn 0.500 0.500 0.500



It turns out <w> is the most stable, with the second structure 48.0 kJ/mol of atoms higher.